The following is a GGA-PBE calculation of a geometry-optimized Pr4BiPb structure, from Alexandria via LeMat-Bulk.

```
data_Pr4BiPb
_chemical_formula_sum 'Pr8 Bi2 Pb2'
_symmetry_space_group_name_H-M 'P 1'
_symmetry_Int_Tables_number 1
_cell_length_a 6.5704
_cell_length_b 8.7823
_cell_length_c 8.6985
_cell_angle_alpha 113.18
_cell_angle_beta 103.24
_cell_angle_gamma 107.12
loop_
_symmetry_equiv_pos_as_xyz
'x,y,z'
loop_
_atom_site_label
_atom_site_fract_x
_atom_site_fract_y
_atom_site_fract_z
Pr1 0.0423 0.2235 0.8335
Pr2 0.7737 0.7034 0.6193
Pr3 0.2912 0.6100 0.8335
Pr4 0.3456 0.9159 0.6193
Pr5 0.6544 0.0841 0.3807
Pr6 0.7088 0.3900 0.1665
Pr7 0.2263 0.2966 0.3807
Pr8 0.9577 0.7765 0.1665
Bi1 0.3691 0.6191 0.2381
Bi2 0.6309 0.3809 0.7619
Pb1 0.2518 0.0018 0.0037
Pb2 0.7482 0.9982 0.9963
```

Symmetry = C2/c, No. 15
Electronic total energy = -59.00 eV/cell
Total magnetization = 0.007 μB per cell
Energy of formation from the pure elements = -0.4659 eV per atom